Compound: NaTcNF2
Source: the Alexandria database
Functional: PBE-GGA
Structure: relaxed

raw total energy = -4.58 eV per atom
formation energy from raw total energies = 0.173 eV per atom

a = 3.8623 Å, b = 3.8623 Å, c = 4.4506 Å
α = 90.00°, β = 90.00°, γ = 90.00°
With the nearest neighbours (Å) after each atom.
Space group P4/mmm (No. 123)
Symmetry-distinct sites (fractional):
Na  0.0000  0.0000  0.0000 (multiplicity 1)  4 F 1.93
Tc  0.5000  0.5000  0.5000 (multiplicity 1)  4 N 2.73, 8 F 2.95
N  0.0000  0.0000  0.5000 (multiplicity 1)  2 Na 2.23
F  0.0000  0.5000  0.0000 (multiplicity 2)  2 Na 1.93